No. 1
Entry from Alexandria via LeMat-Bulk: a relaxed Te2RuBr crystal (GGA-PBEsol).

## Properties
relative energy among the computed polymorphs	676	meV/atom

Cell: 5.545 5.545 5.928 Å, 90.00 90.00 90.00°
Space group I4/mmm (No. 139)
Inequivalent atoms, fractional coordinates:
Te 0.000 0.500 0.000 x4
Ru 0.000 0.000 0.000 x2
Br 0.000 0.000 0.500 x2



No. 2
Entry from Alexandria via LeMat-Bulk: a relaxed Te2RuBr crystal (GGA-PBEsol).

## Properties
relative energy among the computed polymorphs	0	meV/atom

Cell: 4.0057 4.0057 24.0978 Å, 90.00 90.00 120.00°
Space group R-3m (No. 166, hexagonal axes)
Inequivalent atoms, fractional coordinates:
Te 0.0000 0.0000 0.1149 x6
Ru 0.0000 0.0000 0.5000 x3
Br 0.0000 0.0000 0.0000 x3



No. 3
Entry from Alexandria via LeMat-Bulk: a relaxed YTe2RuBr crystal (GGA-PBEsol).

Cell: 5.605 5.605 5.019 Å, 90.00 90.00 90.00°
Space group P4/mmm (No. 123)
Inequivalent atoms, fractional coordinates:
Y 0.000 0.000 0.000 x1
Te 0.000 0.500 0.500 x2
Ru 0.500 0.500 0.000 x1
Br 0.000 0.000 0.500 x1



These records have calculated density values of 7.95, 6.49, 5.53 g/cm3, in the order they appear.
These records have energy relative to the elements, uncorrected values of 0.541, -0.134, 1.124 eV/atom, in the order they appear.
These records have density of states at the Fermi level values of 0.75, 0.60, 1.27 states/eV per atom, in the order they appear.